No. 1
{
  "formula": "MoWCl2",
  "functional": "PBE-GGA",
  "state": "relaxed",
  "de_polymorph_kj_per_mol_atoms": 148.7,
  "cell": [[-2.777, 2.777, 4.962], [2.777, -2.777, 4.962], [2.777, 2.777, -4.962]],
  "species": ["Mo", "Mo", "W", "W", "Cl", "Cl", "Cl", "Cl"],
  "fractional_positions": [[0.000, 0.000, 0.000], [0.750, 0.250, 0.500], [0.250, 0.750, 0.500], [0.500, 0.500, 0.000], [0.127, 0.625, 0.002], [0.375, 0.377, 0.502], [0.623, 0.125, 0.998], [0.875, 0.873, 0.498]]
}

No. 2
{
  "formula": "Mo2WCl",
  "functional": "PBE-GGA",
  "state": "relaxed",
  "de_polymorph_kj_per_mol_atoms": 42.1,
  "cell": [[-1.464, 2.267, 4.623], [1.464, -2.267, 4.623], [1.464, 2.267, -4.623]],
  "species": ["Mo", "Mo", "W", "Cl"],
  "fractional_positions": [[0.000, 0.000, 0.000], [0.723, 0.223, 0.500], [0.273, 0.773, 0.500], [0.498, 0.498, 0.000]]
}

No. 3
{
  "formula": "MoW2Cl",
  "functional": "PBE-GGA",
  "state": "relaxed",
  "de_polymorph_kj_per_mol_atoms": 31.5,
  "cell": [[2.787, 0.000, 0.000], [0.000, 4.480, 0.000], [-0.981, 0.000, 5.210]],
  "species": ["Mo", "W", "W", "Cl"],
  "fractional_positions": [[0.000, 0.000, 0.000], [0.273, 0.500, 0.758], [0.727, 0.500, 0.242], [0.000, 0.000, 0.500]]
}

No. 4
{
  "formula": "MoW4Cl",
  "functional": "PBE-GGA",
  "state": "relaxed",
  "cell": [[0.000, 3.754, 3.754], [3.754, 0.000, 3.754], [3.754, 3.754, 0.000]],
  "species": ["Mo", "W", "W", "W", "W", "Cl"],
  "fractional_positions": [[0.000, 0.000, 0.000], [0.127, 0.624, 0.624], [0.624, 0.127, 0.624], [0.624, 0.624, 0.127], [0.624, 0.624, 0.624], [0.250, 0.250, 0.250]]
}

No. 5
{
  "formula": "Mo2WCl",
  "functional": "PBE-GGA",
  "state": "relaxed",
  "de_polymorph_kj_per_mol_atoms": 45.9,
  "cell": [[-1.466, 2.289, 4.546], [1.466, -2.289, 4.546], [1.466, 2.289, -4.546]],
  "species": ["Mo", "Mo", "W", "Cl"],
  "fractional_positions": [[0.224, 0.224, 0.000], [0.776, 0.776, 0.000], [0.500, 0.000, 0.500], [0.000, 0.500, 0.500]]
}

No. 6
{
  "formula": "MoW2Cl",
  "functional": "PBE-GGA",
  "state": "relaxed",
  "de_polymorph_kj_per_mol_atoms": 0.0,
  "cell": [[3.098, 0.000, 0.000], [0.000, 3.081, 0.000], [-0.005, 0.000, 7.492]],
  "species": ["Mo", "W", "W", "Cl"],
  "fractional_positions": [[0.000, 0.000, 0.000], [0.000, 0.000, 0.581], [0.500, 0.500, 0.793], [0.998, 0.500, 0.300]]
}

What are the formation energy (no corrections) values for these records? In order: 5.15; 2.74; 2.75; 6.49; 2.90; 1.44 eV/f.u..